[1]
# TiInCl5 PBE relaxed
# SG: C2/c
# energy: -4.16 eV per atom
# crystal system: monoclinic
# formation energy without anion corrections: -1318 meV per atom
data_TiInCl5
_symmetry_space_group_name_H-M 'P 1'
_symmetry_Int_Tables_number 1
_cell_length_a 8.064
_cell_length_b 8.064
_cell_length_c 9.300
_cell_angle_alpha 71.76
_cell_angle_beta 71.76
_cell_angle_gamma 56.26
loop_
_symmetry_equiv_pos_as_xyz
'x,y,z'
loop_
_atom_site_label
_atom_site_fract_x
_atom_site_fract_y
_atom_site_fract_z
Ti1 0.000 0.000 0.000
Ti2 0.000 0.000 0.500
In1 0.433 0.567 0.750
In2 0.567 0.433 0.250
Cl1 0.329 0.918 0.878
Cl2 0.329 0.915 0.489
Cl3 0.918 0.329 0.378
Cl4 0.889 0.111 0.750
Cl5 0.085 0.671 0.011
Cl6 0.915 0.329 0.989
Cl7 0.111 0.889 0.250
Cl8 0.082 0.671 0.622
Cl9 0.671 0.085 0.511
Cl10 0.671 0.082 0.122


[2]
# TiTlIn2Cl6 PBE relaxed
# SG: P1
# density of states at the Fermi level: 6.4 states/eV/f.u.
# energy: -3.84 eV per atom
# crystal system: triclinic
# formation energy without anion corrections: -1156 meV per atom
data_TiTlIn2Cl6
_symmetry_space_group_name_H-M 'P 1'
_symmetry_Int_Tables_number 1
_cell_length_a 7.638
_cell_length_b 7.637
_cell_length_c 7.709
_cell_angle_alpha 60.18
_cell_angle_beta 60.20
_cell_angle_gamma 59.85
loop_
_symmetry_equiv_pos_as_xyz
'x,y,z'
loop_
_atom_site_label
_atom_site_fract_x
_atom_site_fract_y
_atom_site_fract_z
Ti1 0.323 0.323 0.031
Tl1 0.813 0.813 0.561
In1 0.534 0.534 0.398
In2 0.023 0.023 0.931
Cl1 0.540 0.206 0.240
Cl2 0.205 0.015 0.241
Cl3 0.014 0.541 0.239
Cl4 0.432 0.643 0.791
Cl5 0.644 0.132 0.792
Cl6 0.133 0.432 0.792


[3]
# TiTl2InCl6 PBE relaxed
# SG: R-3
# density of states at the Fermi level: 6.4 states/eV/f.u.
# energy: -3.85 eV per atom
# crystal system: trigonal
# formation energy without anion corrections: -1207 meV per atom
data_TiTl2InCl6
_symmetry_space_group_name_H-M 'P 1'
_symmetry_Int_Tables_number 1
_cell_length_a 7.870
_cell_length_b 7.872
_cell_length_c 7.372
_cell_angle_alpha 57.72
_cell_angle_beta 57.73
_cell_angle_gamma 59.99
loop_
_symmetry_equiv_pos_as_xyz
'x,y,z'
loop_
_atom_site_label
_atom_site_fract_x
_atom_site_fract_y
_atom_site_fract_z
Ti1 0.316 0.316 0.052
Tl1 0.547 0.547 0.358
Tl2 0.085 0.085 0.745
In1 0.816 0.816 0.551
Cl1 0.507 0.188 0.296
Cl2 0.188 0.009 0.297
Cl3 0.009 0.507 0.296
Cl4 0.445 0.624 0.806
Cl5 0.624 0.125 0.807
Cl6 0.125 0.445 0.807


[4]
# Ti2VInCl PBE relaxed
# SG: P4/mmm
# density of states at the Fermi level: 8.4 states/eV/f.u.
# energy: -4.70 eV per atom
# crystal system: tetragonal
# formation energy without anion corrections: 1200 meV per atom
data_Ti2VInCl
_symmetry_space_group_name_H-M 'P 1'
_symmetry_Int_Tables_number 1
_cell_length_a 5.273
_cell_length_b 5.100
_cell_length_c 5.273
_cell_angle_alpha 90.00
_cell_angle_beta 90.00
_cell_angle_gamma 90.00
loop_
_symmetry_equiv_pos_as_xyz
'x,y,z'
loop_
_atom_site_label
_atom_site_fract_x
_atom_site_fract_y
_atom_site_fract_z
Cl1 0.500 0.500 0.500
V1 0.000 0.500 0.000
Ti1 0.000 0.000 0.500
Ti2 0.500 0.000 0.000
In1 0.000 0.000 0.000